{"formula": "LiScSb", "functional": "GGA-PBE", "state": "optimized geometry", "lattice": [[-1.969, 1.969, 4.237], [1.969, -1.969, 4.237], [1.969, 1.969, -4.237]], "species": ["Li", "Sc", "Sb"], "fractional_positions": [[0.000, 0.000, 0.000], [0.668, 0.668, 0.000], [0.317, 0.317, 0.000]], "e_form_raw_kj_per_mol_atoms": -43, "density_g_cm3": 4.4, "final_energy_ev_per_fu": -13.699, "total_magnetization_mub_per_cell": 0.54}

{"formula": "LiSc5Sb3", "functional": "GGA-PBE", "state": "optimized geometry", "lattice": [[6.270, -5.533, 0.000], [6.270, 5.533, 0.000], [0.000, 0.000, 5.968]], "species": ["Li", "Li", "Sc", "Sc", "Sc", "Sc", "Sc", "Sc", "Sc", "Sc", "Sc", "Sc", "Sb", "Sb", "Sb", "Sb", "Sb", "Sb"], "fractional_positions": [[0.000, 0.000, 0.000], [0.000, 0.000, 0.500], [0.015, 0.380, 0.750], [0.275, 0.725, 0.750], [0.371, 0.371, 0.000], [0.371, 0.371, 0.500], [0.380, 0.015, 0.250], [0.620, 0.985, 0.750], [0.629, 0.629, 0.000], [0.629, 0.629, 0.500], [0.725, 0.275, 0.250], [0.985, 0.620, 0.250], [0.082, 0.275, 0.250], [0.275, 0.082, 0.750], [0.313, 0.687, 0.250], [0.687, 0.313, 0.750], [0.725, 0.918, 0.250], [0.918, 0.725, 0.750]], "e_form_raw_kj_per_mol_atoms": -70, "density_g_cm3": 4.8, "final_energy_ev_per_fu": -52.446, "total_magnetization_mub_per_cell": 1.30}

Which formula does entry 2 have?
LiSc5Sb3

Number 1 is which compound?
LiScSb

Copy entry 2 word for word.
{"formula": "LiSc5Sb3", "functional": "GGA-PBE", "state": "optimized geometry", "lattice": [[6.270, -5.533, 0.000], [6.270, 5.533, 0.000], [0.000, 0.000, 5.968]], "species": ["Li", "Li", "Sc", "Sc", "Sc", "Sc", "Sc", "Sc", "Sc", "Sc", "Sc", "Sc", "Sb", "Sb", "Sb", "Sb", "Sb", "Sb"], "fractional_positions": [[0.000, 0.000, 0.000], [0.000, 0.000, 0.500], [0.015, 0.380, 0.750], [0.275, 0.725, 0.750], [0.371, 0.371, 0.000], [0.371, 0.371, 0.500], [0.380, 0.015, 0.250], [0.620, 0.985, 0.750], [0.629, 0.629, 0.000], [0.629, 0.629, 0.500], [0.725, 0.275, 0.250], [0.985, 0.620, 0.250], [0.082, 0.275, 0.250], [0.275, 0.082, 0.750], [0.313, 0.687, 0.250], [0.687, 0.313, 0.750], [0.725, 0.918, 0.250], [0.918, 0.725, 0.750]], "e_form_raw_kj_per_mol_atoms": -70, "density_g_cm3": 4.8, "final_energy_ev_per_fu": -52.446, "total_magnetization_mub_per_cell": 1.30}